# TlGeO | Alexandria via LeMat-Bulk | PBE | optimized geometry
data_TlGeO
_chemical_formula_sum 'Tl2 Ge2 O2'
_cell_length_a 3.4358
_cell_length_b 5.0439
_cell_length_c 8.7691
_cell_angle_alpha 90.00
_cell_angle_beta 90.00
_cell_angle_gamma 90.00
_space_group_name_H-M_alt 'P 1'
_space_group_IT_number 1
_space_group_name_Hall 'P 1'
loop_
_atom_site_label
_atom_site_fract_x
_atom_site_fract_y
_atom_site_fract_z
Tl1 0.5000 0.0000 0.6869
Tl2 0.5000 0.5000 0.1869
Ge1 0.0000 0.0000 0.0901
Ge2 0.0000 0.5000 0.5901
O1 0.0000 0.0000 0.8904
O2 0.0000 0.5000 0.3904
# Total energy: -0.32697 Ry/atom
# Excess energy over the best structure of this formula in the dataset: 0.38 eV per formula unit
# D(E_F): 2.07 states/eV/cell
# Formation energy without anion corrections: -0.468 eV/atom
# Space-group type: Amm2, No. 38